A plane-wave DFT calculation with PBE with a Hubbard U was carried out for a geometry-optimized Cr2FeGeO6 structure.

## Properties
As for the crystal system: triclinic. The symmetry is P1 (1). The spin magnetization is 10.0 μB per cell. The final energy is -7.2476 eV per atom.

abc: 5.107 5.111 5.451
angles: 62.13 62.65 59.89
Fractional coordinates of all 10 atoms:
O1 0.600 0.230 0.238
O2 0.394 0.710 0.762
O3 0.132 0.400 0.754
O4 0.934 0.596 0.233
O5 0.707 0.135 0.759
O6 0.236 0.937 0.233
Ge1 0.318 0.318 0.048
Fe1 0.808 0.804 0.580
Cr1 0.518 0.520 0.449
Cr2 0.014 0.013 0.960